Below is a geometry-optimized PPt2Cl structure, with properties calculated at the PBE level.

abc: 3.325 3.325 7.121
angles: 90.00 90.00 90.05
Atoms (fractional coordinates):
Cl 0.000 0.000 0.433
P 0.500 0.500 0.883
Pt 0.000 0.000 0.979
Pt 0.500 0.500 0.205

For the magnetic moment, the calculation gives 0.0 μB/cell. The calculation puts the total energy at -19.178 eV/cell. The calculation puts the density of states at the Fermi level at 0.34 states/eV/atom.